No. 1
Density functional theory data (meta-GGA SCAN) for a crystal of TbCd relaxed with PBEsol.

Raw total energy ... -39.0160 eV/atom

Lattice parameters (Å, degrees): 3.687 3.687 3.687 90.00 90.00 90.00
Sites, in units of the cell vectors:
Tb: 0.000 0.000 0.000
Cd: 0.500 0.500 0.500

---

No. 2
Density functional theory data (meta-GGA SCAN) for a crystal of ZnNi2Ir relaxed with PBEsol.

Raw total energy ... -29.3451 eV/atom

Lattice parameters (Å, degrees): 2.607 4.185 4.388 90.00 90.00 90.00
Sites, in units of the cell vectors:
Ni: 0.000 0.000 0.053
Ni: 0.000 0.500 0.698
Zn: 0.500 0.000 0.561
Ir: 0.500 0.500 0.188